[1]
RbLiCo2: optimized geometry, PBE.

The energy of formation comes out at 0.9939 eV/atom. Its total magnetic moment is 0.772 μB/atom. Its theoretical density is 3.5 Mg/m³. For the total energy, the calculation gives -3.2794 eV per atom. Its energy above the most stable polymorph in this dataset is 0 meV per atom.

The structure belongs to space group I4_1/amd (No. 141, origin choice 2); the cell edges are 4.5972, 4.5972 and 18.8232 Å and the angles 90.00°, 90.00° and 90.00°. Symmetry generates all atoms from Rb at (0.0000, 0.2500, 0.3750), Li at (0.0000, 0.2500, 0.8750) and Co at (0.0000, 0.0000, 0.0000).



[2]
Dy2YRuN4: optimized geometry, PBE.

Its total magnetic moment is 0.000 μB/atom. Its theoretical density is 8.3 Mg/m³. For the total energy, the calculation gives -8.3009 eV per atom.

The structure belongs to space group Cmcm (No. 63); the cell edges are 3.3863, 11.5653 and 11.6367 Å and the angles 90.00°, 90.00° and 90.00°. Symmetry generates all atoms from Dy at (0.0000, 0.1313, 0.0421), Y at (0.0000, 0.3707, 0.2500), Ru at (0.0000, 0.3641, 0.7500), N at (0.0000, 0.0497, 0.2500), N at (0.0000, 0.2317, 0.6308) and N at (0.0000, 0.5000, 0.0000).



[3]
Rb3AlBr6: optimized geometry, PBE.

Its total magnetic moment is 0.000 μB/atom. Its theoretical density is 3.3 Mg/m³. For the total energy, the calculation gives -3.1207 eV per atom.

The structure belongs to space group Fm-3m (No. 225); the cell edges are 11.5271, 11.5271 and 11.5271 Å and the angles 90.00°, 90.00° and 90.00°. Symmetry generates all atoms from Rb at (0.0000, 0.0000, 0.0000), Rb at (0.2500, 0.2500, 0.2500), Al at (0.0000, 0.0000, 0.5000) and Br at (0.0000, 0.0000, 0.2810).



[4]
PrSmZnCo: optimized geometry, PBE.

The energy of formation comes out at -0.1471 eV/atom. Its total magnetic moment is 0.000 μB/atom. Its theoretical density is 7.3 Mg/m³. For the total energy, the calculation gives -4.6167 eV per atom. Its energy above the most stable polymorph in this dataset is 0 meV per atom.

The structure belongs to space group Amm2 (No. 38); the cell edges are 4.3711, 3.9745 and 10.8783 Å and the angles 90.00°, 90.00° and 90.00°. Symmetry generates all atoms from Pr at (0.0000, 0.0000, 0.0000), Sm at (0.5000, 0.0000, 0.2793), Zn at (0.5000, 0.0000, 0.5770) and Co at (0.0000, 0.0000, 0.6985).



[5]
Pm4CuTe5: optimized geometry, PBE.

Its total magnetic moment is 0.000 μB/atom. Its theoretical density is 7.1 Mg/m³. For the total energy, the calculation gives -5.0147 eV per atom.

The structure belongs to space group R-3m (No. 166, hexagonal axes); the cell edges are 4.3851, 4.3851 and 54.1806 Å and the angles 90.00°, 90.00° and 120.00°. Symmetry generates all atoms from Pm at (0.0000, 0.0000, 0.1041), Pm at (0.0000, 0.0000, 0.2981), Cu at (0.0000, 0.0000, 0.5000), Te at (0.0000, 0.0000, 0.0000), Te at (0.0000, 0.0000, 0.1943) and Te at (0.0000, 0.0000, 0.4028).



[6]
SiAsI2: optimized geometry, PBE.

Its total magnetic moment is 0.000 μB/atom. Its theoretical density is 5.7 Mg/m³. For the total energy, the calculation gives -2.5156 eV per atom. Its energy above the most stable polymorph in this dataset is 85 meV per atom.

The structure belongs to space group Fm-3m (No. 225); the cell edges are 7.4494, 7.4494 and 7.4494 Å and the angles 90.00°, 90.00° and 90.00°. Symmetry generates all atoms from Si at (0.0000, 0.0000, 0.0000), As at (0.0000, 0.0000, 0.5000) and I at (0.2500, 0.2500, 0.2500).



Listing N(E_F) for the structures above in their given order: 36.06 8.24 0.00 8.16 13.99 14.99 states/eV per cell.